## Cu13Ni2 (PBE)

Data for an optimized crystal structure of Cu13Ni2.

It has space group R-3m (No. 166, hexagonal axes), with a = 6.6500 Å, b = 6.6500 Å, c = 17.8309 Å, α = 90.00°, β = 90.00° and γ = 120.00°. The distinct sites, in fractional coordinates, are Cu at (0.0000, 0.0000, 0.0000), Cu at (0.0864, 0.5432, 0.5583), Cu at (0.0891, 0.5446, 0.3131) and Ni at (0.0000, 0.0000, 0.2325).

Its energy above the most stable polymorph in this dataset is 383 meV per atom. The total magnetization comes out at 0.000 μB/f.u. As for the formation energy: 5.7 eV/f.u.

## ZnReRu (PBE)

Data for an optimized crystal structure of ZnReRu.

It has space group F-43m (No. 216), with a = 5.855 Å, b = 5.855 Å, c = 5.855 Å, α = 90.00°, β = 90.00° and γ = 90.00°. The distinct sites, in fractional coordinates, are Zn at (0.000, 0.000, 0.000), Re at (0.000, 0.000, 0.500) and Ru at (0.250, 0.250, 0.750).

Its energy above the most stable polymorph in this dataset is 494 meV per atom. The total magnetization comes out at 0.000 μB/f.u. As for the formation energy: 1.3 eV/f.u.

## ZrFeNi (PBE)

Data for an optimized crystal structure of ZrFeNi.

It has space group F-43m (No. 216), with a = 5.928 Å, b = 5.928 Å, c = 5.928 Å, α = 90.00°, β = 90.00° and γ = 90.00°. The distinct sites, in fractional coordinates, are Zr at (0.000, 0.000, 0.000), Fe at (0.250, 0.250, 0.750) and Ni at (0.250, 0.250, 0.250).

The total magnetization comes out at 1.298 μB/f.u. As for the formation energy: 1.9 eV/f.u.

## TaHCl3 (PBE)

Data for an optimized crystal structure of TaHCl3.

It has space group Pm-3m (No. 221), with a = 4.849 Å, b = 4.849 Å, c = 4.849 Å, α = 90.00°, β = 90.00° and γ = 90.00°. The distinct sites, in fractional coordinates, are Ta at (0.000, 0.000, 0.000), H at (0.500, 0.500, 0.500) and Cl at (0.000, 0.000, 0.500).

Its energy above the most stable polymorph in this dataset is 608 meV per atom. The total magnetization comes out at 0.988 μB/f.u.

## Tb4CePmTm2 (PBE)

Data for an optimized crystal structure of Tb4CePmTm2.

It has space group Pmmm (No. 47), with a = 5.018 Å, b = 5.029 Å, c = 10.033 Å, α = 90.00°, β = 90.00° and γ = 90.00°. The distinct sites, in fractional coordinates, are Tb at (0.000, 0.000, 0.247), Tb at (0.500, 0.500, 0.248), Ce at (0.000, 0.500, 0.000), Pm at (0.500, 0.000, 0.500), Tm at (0.000, 0.500, 0.500) and Tm at (0.500, 0.000, 0.000).

The total magnetization comes out at 1.071 μB/f.u. As for the formation energy: 0.4 eV/f.u.

## AlPS2N (PBE)

Data for an optimized crystal structure of AlPS2N.

It has space group P4/mmm (No. 123), with a = 4.554 Å, b = 4.554 Å, c = 4.871 Å, α = 90.00°, β = 90.00° and γ = 90.00°. The distinct sites, in fractional coordinates, are Al at (0.000, 0.000, 0.000), P at (0.000, 0.000, 0.500), S at (0.000, 0.500, 0.000) and N at (0.500, 0.500, 0.500).

The formation energy without anion corrections comes out at 132.14 kJ per mole of atoms. Its energy above the most stable polymorph in this dataset is 1008 meV per atom. The total magnetization comes out at 1.358 μB/f.u.

## TmMgSc4 (PBE)

Data for an optimized crystal structure of TmMgSc4.

It has space group C2/c (No. 15), with a = 9.831 Å, b = 5.753 Å, c = 11.133 Å, α = 90.00°, β = 106.61° and γ = 90.00°. The distinct sites, in fractional coordinates, are Tm at (0.250, 0.250, 0.000), Mg at (0.000, 0.076, 0.750), Sc at (0.084, 0.253, 0.503) and Sc at (0.165, 0.417, 0.250).

Its energy above the most stable polymorph in this dataset is 46 meV per atom. The total magnetization comes out at 1.294 μB/f.u. As for the formation energy: 0.3 eV/f.u.

## TcAgRuSe2 (PBE)

Data for an optimized crystal structure of TcAgRuSe2.

It has space group P4/mmm (No. 123), with a = 4.860 Å, b = 4.860 Å, c = 4.801 Å, α = 90.00°, β = 90.00° and γ = 90.00°. The distinct sites, in fractional coordinates, are Tc at (0.000, 0.000, 0.000), Ag at (0.500, 0.500, 0.000), Ru at (0.000, 0.000, 0.500) and Se at (0.000, 0.500, 0.500).

The formation energy without anion corrections comes out at 96.50 kJ per mole of atoms. The total magnetization comes out at 2.617 μB/f.u.